DFT (PBE) results for a geometry-optimized KPbW structure.

```
3
Lattice="-1.898 1.898 6.425 1.898 -1.898 6.425 1.898 1.898 -6.425" Properties=species:S:1:pos:R:3 pbc="T T T"
K 0.000 0.000 0.000
Pb 0.000 0.000 3.500
W 0.000 0.000 9.245
```

SG: I4mm
Formation energy (eV/atom): 1.25
Size of the total moment (Bohr magnetons per cell): 0.69
Energy above the lowest structure with this stoichiometry (meV per atom): 224
E (eV/cell): -14.01
Theoretical density (g/cm³): 7.7